Version A
Here is an optimized crystal structure of SiGeTeSe from Alexandria via LeMat-Bulk. Energies are from GGA-PBE.

## Properties
Crystal system: monoclinic
M_tot: 0.00 Bohr magnetons per cell
Symmetry: Cm, No. 8

Cell lengths 4.1714, 3.7406, 15.2644 Å; angles 90.00, 92.41, 90.00 degrees
Fractional positions:
Si 0.7202 0.0000 0.3330
Se 0.6452 0.0000 0.7386
Ge 0.2292 0.5000 0.9165
Si 0.7202 0.5000 0.8330
Te 0.1286 0.0000 0.0295
Te 0.1286 0.5000 0.5295
Se 0.6452 0.5000 0.2386
Ge 0.2292 0.0000 0.4165

Version B
Here is an optimized crystal structure of SiGeTeSe from Alexandria via LeMat-Bulk. Energies are from GGA-PBE.

## Properties
Crystal system: monoclinic
M_tot: 0.00 Bohr magnetons per cell
Symmetry: Cm, No. 8

Cell lengths 3.7443, 5.5239, 5.9947 Å; angles 83.95, 71.78, 90.04 degrees
Fractional positions:
Se 0.9468 0.4504 0.4854
Ge 0.2119 0.6681 0.9557
Te 0.6490 0.9868 0.0822
Si 0.4339 0.7228 0.5119

Which of them is least stable? Easy: version B.

Version A
Here is an optimized crystal structure of SiGeTeSe from Alexandria via LeMat-Bulk. Energies are from GGA-PBE.

## Properties
Crystal system: triclinic
M_tot: 0.00 Bohr magnetons per cell
Symmetry: P1, No. 1

Cell lengths 3.8272, 5.7617, 5.9281 Å; angles 84.64, 89.88, 70.50 degrees
Fractional positions:
Te 0.2231 0.6803 0.1231
Si 0.8895 0.3485 0.1790
Se 0.5023 0.1298 0.5606
Ge 0.0071 0.1182 0.8253

Version B
Here is an optimized crystal structure of SiGeTeSe from Alexandria via LeMat-Bulk. Energies are from GGA-PBE.

## Properties
Crystal system: monoclinic
M_tot: 0.00 Bohr magnetons per cell
Symmetry: Cm, No. 8

Cell lengths 8.7268, 3.8655, 6.6852 Å; angles 90.00, 105.18, 90.00 degrees
Fractional positions:
Te 0.8614 0.0000 0.2589
Te 0.8614 0.5000 0.7589
Se 0.4051 0.5000 0.9452
Se 0.4051 0.0000 0.4452
Si 0.0376 0.5000 0.1521
Ge 0.2472 0.0000 0.0584
Si 0.0376 0.0000 0.6521
Ge 0.2472 0.5000 0.5584

Which of them is least stable? Easy: version A.

Version A
Here is an optimized crystal structure of Sm2GeSe from Alexandria via LeMat-Bulk. Energies are from GGA-PBE.

## Properties
Crystal system: trigonal
M_tot: 0.00 Bohr magnetons per cell
Symmetry: R3m, No. 160

Cell lengths 4.1691, 4.1691, 7.6480 Å; angles 74.18, 74.18, 60.00 degrees
Fractional positions:
Se 0.4982 0.4982 0.5055
Sm 0.0774 0.0774 0.7677
Sm 0.2568 0.2568 0.2297
Ge 0.6676 0.6676 0.9972

Version B
Here is an optimized crystal structure of Sm2GeSe from Alexandria via LeMat-Bulk. Energies are from GGA-PBE.

## Properties
Crystal system: monoclinic
M_tot: 0.00 Bohr magnetons per cell
Symmetry: C2/c, No. 15

Cell lengths 7.3518, 7.3084, 9.4095 Å; angles 104.93, 105.11, 109.54 degrees
Fractional positions:
Ge 0.1895 0.9395 0.8790
Sm 0.5654 0.3094 0.1247
Sm 0.9407 0.1847 0.8753
Sm 0.8222 0.5656 0.6253
Se 0.4392 0.1892 0.3784
Ge 0.9355 0.6855 0.3710
Ge 0.0645 0.3145 0.6290
Sm 0.4346 0.6906 0.8753
Sm 0.1778 0.4344 0.3747
Ge 0.8105 0.0605 0.1210
Se 0.5608 0.8108 0.6216
Se 0.3143 0.5643 0.1285
Sm 0.6969 0.9403 0.3747
Se 0.6857 0.4357 0.8715
Sm 0.0593 0.8153 0.1247
Sm 0.3031 0.0597 0.6253

Version C
Here is an optimized crystal structure of Sm2GeSe from Alexandria via LeMat-Bulk. Energies are from GGA-PBE.

## Properties
Crystal system: trigonal
M_tot: 0.00 Bohr magnetons per cell
Symmetry: R-3m, No. 166

Cell lengths 4.2168, 4.2168, 7.3584 Å; angles 73.35, 73.35, 60.00 degrees
Fractional positions:
Se 0.5000 0.5000 0.5000
Sm 0.7467 0.7467 0.7600
Sm 0.2533 0.2533 0.2400
Ge 0.0000 0.0000 0.0000

Which of them is least stable? Easy: version A.

Version A
Here is an optimized crystal structure of Sm4GeSe2 from Alexandria via LeMat-Bulk. Energies are from GGA-PBE.

## Properties
Crystal system: orthorhombic
M_tot: 0.00 Bohr magnetons per cell
Symmetry: Cmcm, No. 63

Cell lengths 4.1328, 7.0321, 13.9249 Å; angles 90.00, 90.00, 107.09 degrees
Fractional positions:
Sm 0.7807 0.5614 0.3731
Sm 0.9494 0.8988 0.7500
Sm 0.5000 0.0000 0.0000
Se 0.1397 0.2793 0.4366
Sm 0.0506 0.1012 0.2500
Se 0.8603 0.7207 0.9366
Sm 0.2193 0.4386 0.8731
Ge 0.6054 0.2108 0.7500
Sm 0.5000 0.0000 0.5000
Se 0.1397 0.2793 0.0634
Sm 0.7807 0.5614 0.1269
Sm 0.2193 0.4386 0.6269
Ge 0.3946 0.7892 0.2500
Se 0.8603 0.7207 0.5634

Version B
Here is an optimized crystal structure of Sm4GeSe2 from Alexandria via LeMat-Bulk. Energies are from GGA-PBE.

## Properties
Crystal system: orthorhombic
M_tot: 0.01 Bohr magnetons per cell
Symmetry: Pbam, No. 55

Cell lengths 4.3135, 7.4297, 12.2326 Å; angles 90.00, 90.00, 90.00 degrees
Fractional positions:
Sm 0.5000 0.2474 0.4495
Sm 0.0000 0.1201 0.7145
Ge 0.0000 0.5000 0.0000
Ge 0.0000 0.0000 0.5000
Sm 0.0000 0.8799 0.2855
Se 0.5000 0.3971 0.6862
Se 0.5000 0.8971 0.8138
Se 0.5000 0.1029 0.1862
Sm 0.0000 0.6201 0.7855
Sm 0.0000 0.3799 0.2145
Se 0.5000 0.6029 0.3138
Sm 0.5000 0.7474 0.0505
Sm 0.5000 0.2526 0.9495
Sm 0.5000 0.7526 0.5505

Which of them is least stable? Easy: version B.

Version A
Here is an optimized crystal structure of SnGe2Se2 from Alexandria via LeMat-Bulk. Energies are from GGA-PBE.

## Properties
Crystal system: tetragonal
M_tot: 0.00 Bohr magnetons per cell
Symmetry: P4/mbm, No. 127

Cell lengths 8.2634, 8.2634, 3.7151 Å; angles 90.00, 90.00, 90.00 degrees
Fractional positions:
Ge 0.3121 0.1879 0.5000
Se 0.3397 0.8397 0.0000
Sn 0.0000 0.0000 0.0000
Se 0.6603 0.1603 0.0000
Ge 0.6879 0.8121 0.5000
Ge 0.8121 0.3121 0.5000
Ge 0.1879 0.6879 0.5000
Se 0.1603 0.3397 0.0000
Sn 0.5000 0.5000 0.0000
Se 0.8397 0.6603 0.0000

Version B
Here is an optimized crystal structure of SnGe2Se2 from Alexandria via LeMat-Bulk. Energies are from GGA-PBE.

## Properties
Crystal system: tetragonal
M_tot: 0.00 Bohr magnetons per cell
Symmetry: P4/mbm, No. 127

Cell lengths 8.0337, 8.0337, 3.7912 Å; angles 90.00, 90.00, 90.00 degrees
Fractional positions:
Ge 0.3299 0.8299 0.0000
Ge 0.1701 0.3299 0.0000
Sn 0.0000 0.0000 0.0000
Se 0.1754 0.6754 0.5000
Ge 0.6701 0.1701 0.0000
Se 0.3246 0.1754 0.5000
Se 0.8246 0.3246 0.5000
Ge 0.8299 0.6701 0.0000
Se 0.6754 0.8246 0.5000
Sn 0.5000 0.5000 0.0000

Version C
Here is an optimized crystal structure of SnGe2Se2 from Alexandria via LeMat-Bulk. Energies are from GGA-PBE.

## Properties
Crystal system: tetragonal
M_tot: 0.00 Bohr magnetons per cell
Symmetry: I4/mmm, No. 139

Cell lengths 3.7615, 3.7615, 8.6998 Å; angles 77.51, 77.51, 90.00 degrees
Fractional positions:
Sn 0.0000 0.0000 0.0000
Ge 0.7500 0.2500 0.5000
Se 0.3952 0.3952 0.2096
Ge 0.2500 0.7500 0.5000
Se 0.6048 0.6048 0.7904

Which of them is least stable? Easy: version C.

Version A
Here is an optimized crystal structure of SnGe2Se from Alexandria via LeMat-Bulk. Energies are from GGA-PBE.

## Properties
Crystal system: tetragonal
M_tot: 0.00 Bohr magnetons per cell
Symmetry: I-42d, No. 122

Cell lengths 5.9183, 5.9183, 8.0455 Å; angles 68.42, 68.42, 90.00 degrees
Fractional positions:
Ge 0.8750 0.8615 0.7500
Sn 0.0000 0.0000 0.0000
Ge 0.3750 0.3885 0.7500
Se 0.5000 0.5000 0.0000
Se 0.2500 0.7500 0.5000
Sn 0.7500 0.2500 0.5000
Ge 0.6115 0.1250 0.2500
Ge 0.1385 0.6250 0.2500

Version B
Here is an optimized crystal structure of SnGe2Se from Alexandria via LeMat-Bulk. Energies are from GGA-PBE.

## Properties
Crystal system: cubic
M_tot: 0.00 Bohr magnetons per cell
Symmetry: Fm-3m, No. 225

Cell lengths 4.9815, 4.9815, 4.9815 Å; angles 60.00, 60.00, 60.00 degrees
Fractional positions:
Sn 0.5000 0.5000 0.5000
Se 0.0000 0.0000 0.0000
Ge 0.2500 0.2500 0.2500
Ge 0.7500 0.7500 0.7500

Which of them is least stable? Easy: version B.

Version A
Here is an optimized crystal structure of SnGe3Se from Alexandria via LeMat-Bulk. Energies are from GGA-PBE.

## Properties
Crystal system: cubic
M_tot: 0.00 Bohr magnetons per cell
Symmetry: Pm-3m, No. 221

Cell lengths 5.3282, 5.3282, 5.3282 Å; angles 90.00, 90.00, 90.00 degrees
Fractional positions:
Ge 0.0000 0.0000 0.5000
Sn 0.0000 0.0000 0.0000
Ge 0.5000 0.0000 0.0000
Ge 0.0000 0.5000 0.0000
Se 0.5000 0.5000 0.5000

Version B
Here is an optimized crystal structure of SnGe3Se from Alexandria via LeMat-Bulk. Energies are from GGA-PBE.

## Properties
Crystal system: cubic
M_tot: 0.00 Bohr magnetons per cell
Symmetry: Pm-3m, No. 221

Cell lengths 5.1612, 5.1612, 5.1612 Å; angles 90.00, 90.00, 90.00 degrees
Fractional positions:
Ge 0.0000 0.5000 0.0000
Sn 0.5000 0.5000 0.5000
Se 0.0000 0.0000 0.0000
Ge 0.0000 0.0000 0.5000
Ge 0.5000 0.0000 0.0000

Which of them is least stable? Easy: version A.

Version A
Here is an optimized crystal structure of Sn2Ge2Se from Alexandria via LeMat-Bulk. Energies are from GGA-PBE.

## Properties
Crystal system: tetragonal
M_tot: 0.00 Bohr magnetons per cell
Symmetry: P4/mbm, No. 127

Cell lengths 7.8834, 7.8834, 4.0869 Å; angles 90.00, 90.00, 90.00 degrees
Fractional positions:
Ge 0.8874 0.3874 0.5000
Se 0.0000 0.0000 0.0000
Ge 0.6126 0.8874 0.5000
Sn 0.3139 0.8139 0.0000
Ge 0.3874 0.1126 0.5000
Sn 0.8139 0.6861 0.0000
Ge 0.1126 0.6126 0.5000
Sn 0.6861 0.1861 0.0000
Sn 0.1861 0.3139 0.0000
Se 0.5000 0.5000 0.0000

Version B
Here is an optimized crystal structure of Sn2Ge2Se from Alexandria via LeMat-Bulk. Energies are from GGA-PBE.

## Properties
Crystal system: tetragonal
M_tot: 0.00 Bohr magnetons per cell
Symmetry: P4/mbm, No. 127

Cell lengths 7.7718, 7.7718, 3.9723 Å; angles 90.00, 90.00, 90.00 degrees
Fractional positions:
Sn 0.8572 0.3572 0.5000
Ge 0.1642 0.3358 0.0000
Sn 0.6428 0.8572 0.5000
Ge 0.8358 0.6642 0.0000
Ge 0.3358 0.8358 0.0000
Se 0.0000 0.0000 0.0000
Sn 0.1428 0.6428 0.5000
Sn 0.3572 0.1428 0.5000
Se 0.5000 0.5000 0.0000
Ge 0.6642 0.1642 0.0000

Which of them is least stable? Easy: version B.